1.
Here is crystalline La3TbPm2As6 at its relaxed geometry from Alexandria. Energies are from PBE-GGA.

Structure (POSCAR):
```
La3TbPm2As6
1.0
-7.2375 1.5753 -0.6081
3.9740 -1.6148 -6.0690
-0.4575 -6.7770 3.0198
La Tb Pm As
3 1 2 6
direct
0.1673 0.8327 0.5000
0.8327 0.1673 0.5000
0.5000 0.5000 0.5000
0.0000 0.0000 0.0000
0.3336 0.6664 0.0000
0.6664 0.3336 0.0000
0.9195 0.5893 0.7584
0.7507 0.7507 0.2424
0.0805 0.4107 0.2416
0.5893 0.9195 0.7584
0.2493 0.2493 0.7576
0.4107 0.0805 0.2416
```

Results
The value obtained for the formation energy is -1.548 eV per atom. For the total energy, the calculation gives -6.282 eV/atom. As for the magnetic moment: 0.00 μB/f.u.



2.
Here is crystalline La2TbPmAs4 at its relaxed geometry from Alexandria. Energies are from PBE-GGA.

Structure (POSCAR):
```
La2TbPmAs4
1.0
4.2852 0.0000 0.0000
0.0000 7.4141 -0.1471
0.0000 2.6084 6.9425
La Tb Pm As
2 1 1 4
direct
0.0000 0.0000 0.0000
0.5000 0.0000 0.5000
0.0000 0.5000 0.5000
0.5000 0.5000 0.0000
0.0000 0.7417 0.7500
0.0000 0.2583 0.2500
0.5000 0.7400 0.2560
0.5000 0.2600 0.7440
```

Results
The value obtained for the formation energy is -1.548 eV per atom. For the total energy, the calculation gives -6.277 eV/atom. As for the magnetic moment: 0.00 μB/f.u.



3.
Here is crystalline LaTb2PmAs4 at its relaxed geometry from Alexandria. Energies are from PBE-GGA.

Structure (POSCAR):
```
LaTb2PmAs4
1.0
-3.0852 -1.2188 -2.6190
0.3377 -6.7658 2.7508
-4.5916 -0.5581 5.6685
La Tb Pm As
1 2 1 4
direct
0.0000 0.5000 0.5000
0.0000 0.0000 0.0000
0.5000 0.0000 0.5000
0.5000 0.5000 0.0000
0.0000 0.7580 0.7500
0.0000 0.2420 0.2500
0.5000 0.7602 0.2439
0.5000 0.2398 0.7561
```

Results
The value obtained for the formation energy is -1.538 eV per atom. For the total energy, the calculation gives -6.230 eV/atom. As for the magnetic moment: 0.00 μB/f.u.



4.
Here is crystalline La2Tb3PmAs6 at its relaxed geometry from Alexandria. Energies are from PBE-GGA.

Structure (POSCAR):
```
La2Tb3PmAs6
1.0
-0.5136 -2.7690 3.1670
6.3540 -4.6849 -3.0657
4.5104 7.1947 4.1862
La Tb Pm As
2 3 1 6
direct
0.8341 0.6680 0.6682
0.1659 0.3320 0.3318
0.5000 0.5000 0.0000
0.8333 0.1660 0.6666
0.1667 0.8340 0.3334
0.5000 0.0000 0.0000
0.3323 0.9245 0.6646
0.6639 0.5901 0.3279
0.6677 0.0755 0.3354
0.9970 0.2522 0.9940
0.0030 0.7478 0.0060
0.3361 0.4098 0.6721
```

Results
The value obtained for the formation energy is -1.541 eV per atom. For the total energy, the calculation gives -6.240 eV/atom. As for the magnetic moment: 0.00 μB/f.u.



5.
Here is crystalline LaPm3Th2As6 at its relaxed geometry from Alexandria. Energies are from PBE-GGA.

Structure (POSCAR):
```
LaPm3Th2As6
1.0
-3.2969 -0.3885 2.6850
-2.2562 -7.2724 -3.8225
7.4311 -2.6507 5.3463
La Pm Th As
1 3 2 6
direct
0.5000 0.0000 0.0000
0.5000 0.5000 0.0000
0.8346 0.1666 0.6693
0.1654 0.8334 0.3307
0.8337 0.6678 0.6675
0.1663 0.3322 0.3325
0.3313 0.9140 0.6626
0.6671 0.5824 0.3343
0.6687 0.0860 0.3374
0.0012 0.2552 0.0025
0.9988 0.7448 0.9975
0.3329 0.4176 0.6657
```

Results
The value obtained for the formation energy is -1.512 eV per atom. For the total energy, the calculation gives -6.672 eV/atom. As for the magnetic moment: 0.00 μB/f.u.



6.
Here is crystalline LaPmTh2As4 at its relaxed geometry from Alexandria. Energies are from PBE-GGA.

Structure (POSCAR):
```
LaPmTh2As4
1.0
-1.9701 0.9647 3.6764
-5.3199 -4.9152 -1.5610
1.8672 -6.6292 2.7402
La Pm Th As
1 1 2 4
direct
0.0000 0.5000 0.5000
0.5000 0.5000 0.0000
0.0000 0.0000 0.0000
0.5000 0.0000 0.5000
0.0000 0.7538 0.7513
0.0000 0.2462 0.2487
0.5000 0.7559 0.2456
0.5000 0.2441 0.7544
```

Results
The value obtained for the formation energy is -1.490 eV per atom. For the total energy, the calculation gives -6.879 eV/atom. As for the magnetic moment: 0.00 μB/f.u.



7.
Here is crystalline La3Pm2ThAs6 at its relaxed geometry from Alexandria. Energies are from PBE-GGA.

Structure (POSCAR):
```
La3Pm2ThAs6
1.0
4.3071 0.0000 0.0000
0.0000 8.6191 0.2990
-2.1535 -2.4922 9.0524
La Pm Th As
3 2 1 6
direct
0.5000 0.5000 0.0000
0.8323 0.1683 0.6646
0.1677 0.8317 0.3354
0.8324 0.6645 0.6648
0.1676 0.3355 0.3352
0.5000 0.0000 0.0000
0.3360 0.9142 0.6719
0.6678 0.5799 0.3356
0.6640 0.0858 0.3281
0.0014 0.2442 0.0027
0.9986 0.7558 0.9973
0.3322 0.4201 0.6644
```

Results
The value obtained for the formation energy is -1.551 eV per atom. For the total energy, the calculation gives -6.518 eV/atom. As for the magnetic moment: 0.00 μB/f.u.



8.
Here is crystalline LaPm4Th3As8 at its relaxed geometry from Alexandria. Energies are from PBE-GGA.

Structure (POSCAR):
```
LaPm4Th3As8
1.0
8.5310 0.0000 0.0000
0.0000 8.5094 -0.0208
-4.2655 -4.2617 6.0352
La Pm Th As
1 4 3 8
direct
0.0000 0.5000 0.0000
0.5000 0.0000 0.0000
0.5000 0.0000 0.5000
0.0000 0.0000 0.0000
0.0000 0.0000 0.5000
0.5000 0.5000 0.0000
0.5000 0.5000 0.5000
0.0000 0.5000 0.5000
0.2521 0.7506 0.9984
0.2522 0.7506 0.5044
0.2503 0.2509 0.5006
0.7463 0.7506 0.9984
0.2537 0.2494 0.0016
0.7497 0.7491 0.4994
0.7478 0.2494 0.4956
0.7479 0.2494 0.0016
```

Results
The value obtained for the formation energy is -1.506 eV per atom. For the total energy, the calculation gives -6.718 eV/atom. As for the magnetic moment: 0.00 μB/f.u.